No. 1
Nd2YSb: optimized geometry, GGA-PBE.

Values from the calculation:
calculated volume = 29.26 Å³ per atom
offset from the most stable computed form = 41 meV/atom
SG = P4/mmm (123)
N(E_F) = 3.564 states/eV/f.u.

Lattice parameters (Å, degrees): 4.848 4.848 4.980 90.00 90.00 90.00
Atoms (fractional coordinates):
1 Nd 0.000 0.500 0.000
2 Nd 0.500 0.000 0.000
3 Y 0.000 0.000 0.500
4 Sb 0.500 0.500 0.500



No. 2
Nd2YSb: optimized geometry, GGA-PBE.

Values from the calculation:
calculated volume = 35.57 Å³ per atom
offset from the most stable computed form = 217 meV/atom
SG = R3m (160)
N(E_F) = 4.294 states/eV/f.u.

Lattice parameters (Å, degrees): 9.968 9.968 9.968 23.85 23.85 23.85
Atoms (fractional coordinates):
1 Nd 0.000 0.000 0.000
2 Nd 0.197 0.197 0.197
3 Y 0.432 0.432 0.432
4 Sb 0.598 0.598 0.598